! Ta2ReTcCl PBE-GGA relaxed; values from VASP
! total magnetization = 0.000 μB/atom
! raw total energy = -8.594 eV/atom
! N(E_F) = 5.2 states/eV/cell
! formation energy without anion corrections = 1.0787 eV/atom
&SYSTEM
  ibrav = 0, nat = 5, ntyp = 4
/
ATOMIC_SPECIES
Re 186.21 Re.upf
Cl 35.45 Cl.upf
Tc 98.00 Tc.upf
Ta 180.95 Ta.upf
ATOMIC_POSITIONS crystal
Re 0.5000 0.5000 0.5000
Cl 0.0000 0.0000 0.0000
Tc 0.0000 0.5000 0.0000
Ta 0.0000 0.0000 0.5000
Ta 0.5000 0.0000 0.0000
CELL_PARAMETERS angstrom
4.4893 0.0000 0.0000
0.0000 4.2526 0.0000
0.0000 0.0000 4.4893


! Na5In4Pd2 PBE-GGA relaxed; values from VASP
! formation energy = -2.51 eV/f.u.
! total magnetization = 0.000 μB/atom
! raw total energy = -2.768 eV/atom
! N(E_F) = 5.2 states/eV/cell
&SYSTEM
  ibrav = 0, nat = 11, ntyp = 3
/
ATOMIC_SPECIES
Na 22.99 Na.upf
In 114.82 In.upf
Pd 106.42 Pd.upf
ATOMIC_POSITIONS crystal
Na 0.0000 0.5372 0.3455
Na 0.0000 0.1513 0.1384
Na 0.0000 0.5000 0.0000
Na 0.0000 0.8487 0.8616
Na 0.0000 0.4628 0.6545
In 0.5000 0.8067 0.5677
In 0.5000 0.1991 0.8460
In 0.5000 0.1933 0.4323
In 0.5000 0.8009 0.1540
Pd 0.0000 0.0835 0.6379
Pd 0.0000 0.9165 0.3621
CELL_PARAMETERS angstrom
3.2723 0.0000 0.0000
0.0000 8.1574 -0.8757
0.0000 0.3384 10.1616


! NdErMgPd PBE-GGA relaxed; values from VASP
! formation energy = -1.46 eV/f.u.
! total magnetization = 0.000 μB/atom
! raw total energy = -4.394 eV/atom
! N(E_F) = 3.3 states/eV/cell
&SYSTEM
  ibrav = 0, nat = 4, ntyp = 4
/
ATOMIC_SPECIES
Mg 24.30 Mg.upf
Nd 144.24 Nd.upf
Pd 106.42 Pd.upf
Er 167.26 Er.upf
ATOMIC_POSITIONS crystal
Mg 0.5000 0.5000 0.5000
Nd 0.7500 0.7500 0.7500
Pd 0.0000 0.0000 0.0000
Er 0.2500 0.2500 0.2500
CELL_PARAMETERS angstrom
5.1968 0.0000 0.0000
2.5984 4.5006 0.0000
2.5984 1.5002 4.2432